Material: Nd6TePt2Se3
Method: DFT, GGA-PBE
State: relaxed

a b c (Å): 18.9209 4.2025 8.7813
angles (deg): 90.00 105.05 90.00
Space group C2/m (No. 12)
Unique sites:
Nd: 0.0053 0.0000 0.2679 [4 per cell]
Nd: 0.1709 0.5000 0.5750 [4 per cell]
Nd: 0.1739 0.5000 0.1053 [4 per cell]
Te: 0.0000 0.5000 0.0000 [2 per cell]
Pt: 0.1674 0.0000 0.3361 [4 per cell]
Se: 0.0000 0.5000 0.5000 [2 per cell]
Se: 0.1607 0.0000 0.8376 [4 per cell]

Summary:
Formation energy (no corrections) (eV/atom): -1.50
DFT total energy (eV per atom): -6.02